! Dy6BiSb3 GGA-PBE relaxed; values from VASP
! Density ... 8.21 g/cm3
! Raw total energy ... -5.115 eV/atom
! Space group ... Cmc2_1 (36)
! Formation energy (no corrections) ... -728 meV/atom
&SYSTEM
  ibrav = 0, nat = 20, ntyp = 3
/
ATOMIC_SPECIES
Dy 162.50 Dy.upf
Bi 208.98 Bi.upf
Sb 121.76 Sb.upf
ATOMIC_POSITIONS crystal
Dy 0.151 0.722 0.620
Dy 0.651 0.620 0.722
Dy 0.255 0.475 0.922
Dy 0.755 0.922 0.475
Dy 0.251 0.998 0.002
Dy 0.620 0.249 0.751
Dy 0.120 0.751 0.249
Dy 0.751 0.002 0.998
Dy 0.255 0.078 0.525
Dy 0.755 0.525 0.078
Dy 0.151 0.380 0.278
Dy 0.651 0.278 0.380
Bi 0.999 0.175 0.825
Bi 0.499 0.825 0.175
Sb 0.482 0.916 0.718
Sb 0.982 0.718 0.916
Sb 0.340 0.416 0.584
Sb 0.840 0.584 0.416
Sb 0.982 0.084 0.282
Sb 0.482 0.282 0.084
CELL_PARAMETERS angstrom
-0.588 -1.896 -7.364
-8.615 -3.023 1.466
-0.777 8.938 -2.239